DFT (GGA+U) results for a relaxed MnOF crystal.

Properties
**Calculated total energy**: -150.68 eV/cell
**Calculated volume**: 11.13 A^3/atom

The structure in CIF format:
```
data_MnOF
_cell_length_a 4.7405
_cell_length_b 2.9878
_cell_length_c 18.8675
_cell_angle_alpha 90.00
_cell_angle_beta 92.28
_cell_angle_gamma 90.00
_symmetry_space_group_name_H-M 'P 1 m 1'
_symmetry_Int_Tables_number 6
loop_
_symmetry_equiv_pos_as_xyz
'x,y,z'
'x,-y,z'
loop_
_atom_site_label
_atom_site_fract_x
_atom_site_fract_y
_atom_site_fract_z
Mn1 0.0000 0.0000 0.0000
Mn2 0.0239 0.0000 0.2498
Mn3 0.1116 0.0000 0.7468
Mn4 0.2067 0.0000 0.4984
Mn5 0.4411 0.5000 0.1284
Mn6 0.5616 0.5000 0.8715
Mn7 0.6100 0.5000 0.3746
Mn8 0.6646 0.5000 0.6205
O1 0.1891 0.5000 0.0478
O2 0.2865 0.0000 0.1762
O3 0.2875 0.5000 0.7957
O4 0.3799 0.5000 0.5472
O5 0.4548 0.0000 0.4246
O6 0.7667 0.0000 0.3233
O7 0.8316 0.5000 0.9479
O8 0.9449 0.5000 0.6943
F1 0.2354 0.5000 0.2960
F2 0.3636 0.0000 0.9157
F3 0.4679 0.0000 0.6681
F4 0.6623 0.0000 0.0847
F5 0.7629 0.0000 0.8254
F6 0.8105 0.5000 0.2026
F7 0.8726 0.0000 0.5713
F8 0.9748 0.5000 0.4512
```